# KPrP4O12 | Alexandria | PBE-GGA | relaxed
data_KPrP4O12
_chemical_formula_sum 'K2 Pr2 P8 O24'
_cell_length_a 7.4294
_cell_length_b 8.6229
_cell_length_c 8.1418
_cell_angle_alpha 90.00
_cell_angle_beta 91.82
_cell_angle_gamma 90.00
_symmetry_space_group_name_H-M 'P 1 21 1'
_symmetry_Int_Tables_number 4
_symmetry_space_group_name_Hall 'P 2yb'
loop_
_atom_site_label
_atom_site_fract_x
_atom_site_fract_y
_atom_site_fract_z
K1 0.2313 0.0000 0.2828
Pr1 0.2632 0.6848 0.7581
P1 0.0687 0.0604 0.9034
P2 0.1187 0.4357 0.3942
P3 0.3993 0.2615 0.8937
P4 0.4982 0.5354 0.3822
O1 0.0351 0.2826 0.3504
O2 0.0418 0.5688 0.2702
O3 0.0573 0.5935 0.9603
O4 0.1070 0.4960 0.5662
O5 0.1830 0.9182 0.9257
O6 0.1908 0.2124 0.8746
O7 0.3263 0.4263 0.3423
O8 0.3379 0.9335 0.6143
O9 0.4124 0.4218 0.8242
O10 0.4682 0.2295 0.0660
O11 0.4694 0.6319 0.5327
O12 0.4908 0.6436 0.2216
# total energy	-131.093	eV per formula unit
# formation energy from raw total energies	-2.449	eV/atom

# CaP2Rh2 | Alexandria | PBE-GGA | relaxed
data_CaP2Rh2
_chemical_formula_sum 'Ca2 P4 Rh4'
_cell_length_a 7.3170
_cell_length_b 7.3170
_cell_length_c 2.9822
_cell_angle_alpha 90.00
_cell_angle_beta 90.00
_cell_angle_gamma 90.00
_symmetry_space_group_name_H-M 'P 4/m b m'
_symmetry_Int_Tables_number 127
_symmetry_space_group_name_Hall '-P 4 2ab'
loop_
_atom_site_label
_atom_site_fract_x
_atom_site_fract_y
_atom_site_fract_z
Ca1 0.0000 0.0000 0.0000
P1 0.1495 0.3505 0.5000
Rh1 0.1299 0.6299 0.0000
# E_form	-0.41	eV per atom
# total energy	-29.597	eV per formula unit

# KSrMn2Br8 | Alexandria | PBE-GGA | relaxed
data_KSrMn2Br8
_chemical_formula_sum 'K1 Sr1 Mn2 Br8'
_cell_length_a 7.0969
_cell_length_b 7.0969
_cell_length_c 10.1906
_cell_angle_alpha 90.00
_cell_angle_beta 90.00
_cell_angle_gamma 120.00
_symmetry_space_group_name_H-M 'P -3'
_symmetry_Int_Tables_number 147
_symmetry_space_group_name_Hall '-P 3'
loop_
_atom_site_label
_atom_site_fract_x
_atom_site_fract_y
_atom_site_fract_z
K1 0.0000 0.0000 0.0000
Sr1 0.0000 0.0000 0.5000
Mn1 0.3333 0.6667 0.7584
Br1 0.0002 0.3334 0.6924
Br2 0.3333 0.6667 0.9920
# total energy	-48.608	eV per formula unit
# formation energy from raw total energies	-1.176	eV/atom

# RbNbC2 | Alexandria | PBE-GGA | relaxed
data_RbNbC2
_chemical_formula_sum 'Rb4 Nb4 C8'
_cell_length_a 6.4528
_cell_length_b 6.4528
_cell_length_c 9.3221
_cell_angle_alpha 90.00
_cell_angle_beta 90.00
_cell_angle_gamma 90.00
_symmetry_space_group_name_H-M 'I -4 2 d'
_symmetry_Int_Tables_number 122
_symmetry_space_group_name_Hall 'I -4 2bw'
loop_
_atom_site_label
_atom_site_fract_x
_atom_site_fract_y
_atom_site_fract_z
Rb1 0.0000 0.0000 0.0000
Nb1 0.0000 0.0000 0.5000
C1 0.0623 0.2500 0.6250
# E_form	0.84	eV per atom
# total energy	-26.124	eV per formula unit
# polymorph energy (0 for the lowest one)	0.0	meV per atom

# EuZnCd4 | Alexandria | PBE-GGA | relaxed
data_EuZnCd4
_chemical_formula_sum 'Eu4 Zn4 Cd16'
_cell_length_a 8.4302
_cell_length_b 8.4302
_cell_length_c 8.4302
_cell_angle_alpha 90.00
_cell_angle_beta 90.00
_cell_angle_gamma 90.00
_symmetry_space_group_name_H-M 'F -4 3 m'
_symmetry_Int_Tables_number 216
_symmetry_space_group_name_Hall 'F -4 2 3'
loop_
_atom_site_label
_atom_site_fract_x
_atom_site_fract_y
_atom_site_fract_z
Eu1 0.0000 0.0000 0.0000
Zn1 0.2500 0.2500 0.7500
Cd1 0.1249 0.1249 0.3751
# E_form	-0.05	eV per atom
# total energy	-15.529	eV per formula unit

# SiH3Os | Alexandria | PBE-GGA | relaxed
data_SiH3Os
_chemical_formula_sum 'Si1 H3 Os1'
_cell_length_a 3.5193
_cell_length_b 3.5193
_cell_length_c 3.5193
_cell_angle_alpha 90.00
_cell_angle_beta 90.00
_cell_angle_gamma 90.00
_symmetry_space_group_name_H-M 'P m -3 m'
_symmetry_Int_Tables_number 221
_symmetry_space_group_name_Hall '-P 4 2 3'
loop_
_atom_site_label
_atom_site_fract_x
_atom_site_fract_y
_atom_site_fract_z
Si1 0.0000 0.0000 0.0000
H1 0.0000 0.5000 0.5000
Os1 0.5000 0.5000 0.5000
# total energy	-23.607	eV per formula unit
# polymorph energy (0 for the lowest one)	0.0	meV per atom

# Al6TcAu | Alexandria | PBE-GGA | relaxed
data_Al6TcAu
_chemical_formula_sum 'Al12 Tc2 Au2'
_cell_length_a 7.5128
_cell_length_b 5.2158
_cell_length_c 7.7182
_cell_angle_alpha 90.00
_cell_angle_beta 110.30
_cell_angle_gamma 90.00
_symmetry_space_group_name_H-M 'C 1 2/m 1'
_symmetry_Int_Tables_number 12
_symmetry_space_group_name_Hall '-C 2y'
loop_
_atom_site_label
_atom_site_fract_x
_atom_site_fract_y
_atom_site_fract_z
Al1 0.1570 0.0000 0.4684
Al2 0.1784 0.2505 0.7987
Tc1 0.0000 0.5000 0.5000
Au1 0.0000 0.0000 0.0000
# E_form	-0.11	eV per atom
# total energy	-36.942	eV per formula unit

# LaTcPt | Alexandria | PBE-GGA | relaxed
data_LaTcPt
_chemical_formula_sum 'La1 Tc1 Pt1'
_cell_length_a 2.9422
_cell_length_b 2.9422
_cell_length_c 7.6954
_cell_angle_alpha 90.00
_cell_angle_beta 90.00
_cell_angle_gamma 120.00
_symmetry_space_group_name_H-M 'P 3 m 1'
_symmetry_Int_Tables_number 156
_symmetry_space_group_name_Hall 'P 3 -2"'
loop_
_atom_site_label
_atom_site_fract_x
_atom_site_fract_y
_atom_site_fract_z
La1 0.0000 0.0000 0.0000
Tc1 0.3333 0.6667 0.6368
Pt1 0.6667 0.3333 0.3624
# E_form	0.36	eV per atom
# total energy	-20.249	eV per formula unit
# polymorph energy (0 for the lowest one)	631.2	meV per atom